Entry from Alexandria via LeMat-Bulk: a relaxed structure of AcDyTa2O8 (PBE-GGA).

Properties
Uncorrected energy: -9.22 eV/atom
V: 169.2 Å³ per cell
Density of states at the Fermi level: 0.000 states/eV/atom
SG: I-4 (82)
Magnetic moment: 0.000 μB/atom
Uncorrected formation energy: -3.215 eV per atom

a = 6.940 Å, b = 6.940 Å, c = 6.940 Å
α = 134.16°, β = 134.16°, γ = 66.83°
Fractional positions:
1 Ac 0.000 0.000 0.000
2 Dy 0.250 0.750 0.500
3 Ta 0.500 0.500 0.000
4 Ta 0.750 0.250 0.500
5 O 0.009 0.088 0.432
6 O 0.259 0.659 0.099
7 O 0.341 0.441 0.601
8 O 0.424 0.991 0.080
9 O 0.559 0.160 0.901
10 O 0.656 0.576 0.568
11 O 0.840 0.741 0.399
12 O 0.912 0.344 0.920



Entry from Alexandria via LeMat-Bulk: a relaxed structure of AcDy2TaO8 (PBE-GGA).

Properties
Uncorrected energy: -8.30 eV/atom
V: 186.4 Å³ per cell
Density of states at the Fermi level: 0.634 states/eV/atom
SG: Cmmm (65)
Magnetic moment: 0.120 μB/atom
Uncorrected formation energy: -2.897 eV per atom

a = 5.076 Å, b = 5.076 Å, c = 7.234 Å
α = 90.00°, β = 90.00°, γ = 90.39°
Fractional positions:
1 Ac 0.000 0.000 0.000
2 Dy 0.500 0.500 0.265
3 Dy 0.500 0.500 0.735
4 Ta 0.000 0.000 0.500
5 O 0.188 0.812 0.296
6 O 0.188 0.812 0.704
7 O 0.283 0.283 0.500
8 O 0.328 0.328 0.000
9 O 0.672 0.672 0.000
10 O 0.717 0.717 0.500
11 O 0.812 0.188 0.296
12 O 0.812 0.188 0.704



Question: Which of these has the highest uncorrected formation energy?
Answer: AcDy2TaO8